(1)
{"formula": "Re2As", "functional": "PBE-GGA", "state": "relaxed", "lattice_angstrom": [[4.275, 0.000, 0.000], [-2.137, 3.702, 0.000], [0.000, 0.000, 2.852]], "species": ["Re", "Re", "As"], "frac_coords": [[0.333, 0.667, 0.240], [0.667, 0.333, 0.760], [0.000, 0.000, 0.000]], "formation_enthalpy_0k_ev_per_atom": 0.323, "final_energy_ev_per_atom": -9.53, "dos_at_fermi_per_ev_cell": 1.38}

(2)
{"formula": "KInSn2", "functional": "PBE-GGA", "state": "relaxed", "lattice_angstrom": [[8.796, 0.000, 0.000], [0.000, 5.103, 0.000], [0.000, 0.000, 11.325]], "species": ["K", "K", "K", "K", "In", "In", "In", "In", "Sn", "Sn", "Sn", "Sn", "Sn", "Sn", "Sn", "Sn"], "frac_coords": [[0.186, 0.250, 0.199], [0.314, 0.750, 0.699], [0.686, 0.250, 0.301], [0.814, 0.750, 0.801], [0.021, 0.750, 0.421], [0.479, 0.250, 0.921], [0.521, 0.750, 0.079], [0.979, 0.250, 0.579], [0.118, 0.250, 0.842], [0.156, 0.750, 0.990], [0.344, 0.250, 0.490], [0.382, 0.750, 0.342], [0.618, 0.250, 0.658], [0.656, 0.750, 0.510], [0.844, 0.250, 0.010], [0.882, 0.750, 0.158]], "formation_enthalpy_0k_ev_per_atom": -0.123, "final_energy_ev_per_atom": -3.08, "dos_at_fermi_per_ev_cell": 5.58}

(3)
{"formula": "Dy3HgRh", "functional": "PBE-GGA", "state": "relaxed", "lattice_angstrom": [[5.519, 0.000, 0.000], [-2.620, 5.654, 0.000], [-1.445, -2.482, 8.162]], "species": ["Dy", "Dy", "Dy", "Dy", "Dy", "Dy", "Hg", "Hg", "Rh", "Rh"], "frac_coords": [[0.048, 0.185, 0.285], [0.288, 0.446, 0.732], [0.302, 0.803, 0.108], [0.698, 0.197, 0.892], [0.712, 0.554, 0.268], [0.952, 0.815, 0.715], [0.346, 0.744, 0.480], [0.654, 0.256, 0.520], [0.244, 0.242, 0.996], [0.756, 0.758, 0.004]], "formation_enthalpy_0k_ev_per_atom": -0.555, "de_polymorph_mev_per_atom": 0, "final_energy_ev_per_atom": -4.85, "dos_at_fermi_per_ev_cell": 7.82}

(4)
{"formula": "TlP2H", "functional": "PBE-GGA", "state": "relaxed", "lattice_angstrom": [[-2.809, 2.809, 4.513], [2.809, -2.809, 4.513], [2.809, 2.809, -4.513]], "species": ["Tl", "Tl", "P", "P", "P", "P", "H", "H"], "frac_coords": [[0.375, 0.625, 0.750], [0.625, 0.375, 0.250], [0.000, 0.000, 0.000], [0.000, 0.000, 0.500], [0.000, 0.500, 0.000], [0.500, 0.000, 0.500], [0.125, 0.875, 0.250], [0.875, 0.125, 0.750]], "de_polymorph_mev_per_atom": 581, "final_energy_ev_per_atom": -3.47, "dos_at_fermi_per_ev_cell": 2.66}

(5)
{"formula": "Ac2IrPt3", "functional": "PBE-GGA", "state": "relaxed", "lattice_angstrom": [[0.000, 4.460, 7.738], [4.289, 0.000, 7.738], [4.289, 4.460, 0.000]], "species": ["Ac", "Ac", "Ac", "Ac", "Ir", "Ir", "Pt", "Pt", "Pt", "Pt", "Pt", "Pt"], "frac_coords": [[0.249, 0.751, 0.751], [0.250, 0.250, 0.250], [0.750, 0.750, 0.750], [0.751, 0.249, 0.249], [0.334, 0.334, 0.666], [0.666, 0.666, 0.334], [0.169, 0.169, 0.831], [0.169, 0.663, 0.337], [0.337, 0.831, 0.169], [0.663, 0.169, 0.831], [0.831, 0.337, 0.663], [0.831, 0.831, 0.169]], "formation_enthalpy_0k_ev_per_atom": -0.925, "final_energy_ev_per_atom": -6.79, "dos_at_fermi_per_ev_cell": 5.33}

(6)
{"formula": "KZn2SbAu4", "functional": "PBE-GGA", "state": "relaxed", "lattice_angstrom": [[2.553, 1.474, 8.176], [-2.553, 1.474, 8.176], [0.000, -2.949, 8.176]], "species": ["K", "Zn", "Zn", "Sb", "Au", "Au", "Au", "Au"], "frac_coords": [[0.000, 0.000, 0.000], [0.279, 0.279, 0.279], [0.721, 0.721, 0.721], [0.500, 0.500, 0.500], [0.175, 0.175, 0.175], [0.387, 0.387, 0.387], [0.613, 0.613, 0.613], [0.825, 0.825, 0.825]], "e_form_raw_kj_per_mol_fu": -25, "final_energy_ev_per_atom": -2.64, "dos_at_fermi_per_ev_cell": 2.67}

(7)
{"formula": "Nd4GaCo", "functional": "PBE-GGA", "state": "relaxed", "lattice_angstrom": [[4.420, -6.986, 0.000], [4.420, 6.986, 0.000], [-2.959, 0.000, 5.390]], "species": ["Nd", "Nd", "Nd", "Nd", "Nd", "Nd", "Nd", "Nd", "Ga", "Ga", "Co", "Co"], "frac_coords": [[0.065, 0.695, 0.914], [0.214, 0.341, 0.678], [0.305, 0.935, 0.586], [0.341, 0.214, 0.178], [0.659, 0.786, 0.822], [0.695, 0.065, 0.414], [0.786, 0.659, 0.322], [0.935, 0.305, 0.086], [0.374, 0.626, 0.250], [0.626, 0.374, 0.750], [0.002, 0.998, 0.750], [0.998, 0.002, 0.250]], "formation_enthalpy_0k_ev_per_atom": -0.199, "final_energy_ev_per_atom": -5.07, "dos_at_fermi_per_ev_cell": 13.30}

(8)
{"formula": "TlAs2Ru2", "functional": "PBE-GGA", "state": "relaxed", "lattice_angstrom": [[7.603, 0.000, 0.000], [0.000, 7.603, 0.000], [0.000, 0.000, 3.012]], "species": ["Tl", "Tl", "As", "As", "As", "As", "Ru", "Ru", "Ru", "Ru"], "frac_coords": [[0.000, 0.000, 0.000], [0.500, 0.500, 0.000], [0.139, 0.361, 0.500], [0.361, 0.861, 0.500], [0.639, 0.139, 0.500], [0.861, 0.639, 0.500], [0.137, 0.637, 0.000], [0.363, 0.137, 0.000], [0.637, 0.863, 0.000], [0.863, 0.363, 0.000]], "formation_enthalpy_0k_ev_per_atom": 0.118, "de_polymorph_mev_per_atom": 199, "final_energy_ev_per_atom": -5.93, "dos_at_fermi_per_ev_cell": 7.58}

Number 1: total magnetization 0.00 μB/f.u.. Number 2: total magnetization 0.00 μB/f.u.. Number 3: total magnetization 0.00 μB/f.u.. Number 4: total magnetization 0.00 μB/f.u.. Number 5: total magnetization 0.00 μB/f.u.. Number 6: total magnetization 0.00 μB/f.u.. Number 7: total magnetization 0.00 μB/f.u.. Number 8: total magnetization 0.00 μB/f.u..